# NdPuSi | Alexandria via LeMat-Bulk | PBE | relaxed
data_NdPuSi
_chemical_formula_sum 'Nd1 Pu1 Si1'
_cell_length_a 3.6908
_cell_length_b 3.6908
_cell_length_c 7.0782
_cell_angle_alpha 90.00
_cell_angle_beta 90.00
_cell_angle_gamma 120.00
_space_group_name_H-M_alt 'P 3 m 1'
_space_group_IT_number 156
loop_
_space_group_symop_operation_xyz
'x,y,z'
'-y,x-y,z'
'-x+y,-x,z'
'-y,-x,z'
'-x+y,y,z'
'x,x-y,z'
loop_
_atom_site_label
_atom_site_type_symbol
_atom_site_fract_x
_atom_site_fract_y
_atom_site_fract_z
Nd1 Nd 0.0000 0.0000 0.0000
Pu1 Pu 0.3333 0.6667 0.5592
Si1 Si 0.6667 0.3333 0.2899
# volume: 84 Å³/cell
# formation energy from raw total energies: -0.034 eV/atom
# crystal system: trigonal
# mass density: 8.28 g/cm³
# VASP energy: -8.208 eV per atom
# relative energy among the computed polymorphs: 140 meV/atom